DFT (PBE-GGA) results for an optimized crystal structure of MnFe2Sn2.

Cell and atoms, written as CIF:
```
data_MnFe2Sn2
_space_group_name_H-M_alt 'I 4/m m m'
_space_group_IT_number 139
_space_group_name_Hall '-I 4 2'
_cell_length_a 3.354
_cell_length_b 3.354
_cell_length_c 15.787
_cell_angle_alpha 90.00
_cell_angle_beta 90.00
_cell_angle_gamma 90.00
loop_
_atom_site_label
_atom_site_type_symbol
_atom_site_fract_x
_atom_site_fract_y
_atom_site_fract_z
Mn1 Mn 0.000 0.000 0.000
Fe1 Fe 0.000 0.500 0.250
Sn1 Sn 0.000 0.000 0.389
```

## Properties
Crystal system: tetragonal
DFT formation energy in eV/atom: 0.3241
N(E_F) in states/eV/f.u.: 3.4
Magnetization in μB/atom: 1.641
Relative energy among the computed polymorphs in meV/atom: 62.4
Total energy in eV per atom: -6.496